No. 1
Compound: TlCd4Br8
Source: Alexandria via LeMat-Bulk
Functional: PBE-GGA
Structure: optimized geometry

calculated volume: 37.43 Å³/atom
excess energy over the best structure of this formula in the dataset: 0 meV per atom
raw formation energy: -739 meV per atom
electronic total energy: -29.02 eV/cell
symmetry: No. 12

a = 8.3644 Å, b = 8.3644 Å, c = 10.6908 Å
α = 124.72°, β = 124.72°, γ = 59.58°
Fractional positions:
Tl 0.0000 0.0000 0.0000
Cd 0.2563 0.7437 0.5000
Cd 0.2590 0.2590 0.5149
Cd 0.7410 0.7410 0.4851
Cd 0.7437 0.2563 0.5000
Br 0.9996 0.9996 0.3142
Br 0.0004 0.0004 0.6858
Br 0.0102 0.5191 0.6977
Br 0.4809 0.9898 0.3023
Br 0.4898 0.4898 0.2997
Br 0.5102 0.5102 0.7003
Br 0.5191 0.0102 0.6977
Br 0.9898 0.4809 0.3023

=====

No. 2
Compound: TlCdBr2
Source: Alexandria via LeMat-Bulk
Functional: PBE-GGA
Structure: optimized geometry

calculated volume: 29.80 Å³/atom
excess energy over the best structure of this formula in the dataset: 368 meV per atom
raw formation energy: -221 meV per atom
electronic total energy: -7.51 eV/cell
symmetry: No. 216

a = 5.5241 Å, b = 5.5241 Å, c = 5.5241 Å
α = 60.00°, β = 60.00°, γ = 60.00°
Fractional positions:
Tl 0.0000 0.0000 0.0000
Cd 0.2500 0.2500 0.2500
Br 0.5000 0.5000 0.5000
Br 0.7500 0.7500 0.7500

=====

No. 3
Compound: TlCd3Br
Source: Alexandria via LeMat-Bulk
Functional: PBE-GGA
Structure: optimized geometry

calculated volume: 34.40 Å³/atom
excess energy over the best structure of this formula in the dataset: 0 meV per atom
raw formation energy: 64 meV per atom
electronic total energy: -6.46 eV/cell
symmetry: No. 221

a = 5.5611 Å, b = 5.5611 Å, c = 5.5611 Å
α = 90.00°, β = 90.00°, γ = 90.00°
Fractional positions:
Tl 0.0000 0.0000 0.0000
Cd 0.0000 0.0000 0.5000
Cd 0.0000 0.5000 0.0000
Cd 0.5000 0.0000 0.0000
Br 0.5000 0.5000 0.5000

=====

No. 4
Compound: TlCdBr2
Source: Alexandria via LeMat-Bulk
Functional: PBE-GGA
Structure: optimized geometry

calculated volume: 44.02 Å³/atom
excess energy over the best structure of this formula in the dataset: 63 meV per atom
raw formation energy: -526 meV per atom
electronic total energy: -17.46 eV/cell
symmetry: No. 122

a = 9.3709 Å, b = 9.3709 Å, c = 9.3709 Å
α = 138.89°, β = 138.89°, γ = 59.54°
Fractional positions:
Tl 0.0000 0.0000 0.0000
Tl 0.7500 0.2500 0.5000
Cd 0.2500 0.7500 0.5000
Cd 0.5000 0.5000 0.0000
Br 0.1812 0.6250 0.0562
Br 0.3750 0.4312 0.5562
Br 0.5688 0.1250 0.9438
Br 0.8750 0.8188 0.4438

=====

Ρ per entry: 4.41, 6.64, 6.00, 4.49 g/cm³